## CaTbTl (PBE-GGA)

Data for an optimized crystal structure of CaTbTl.

**Energy above the most stable polymorph in this dataset**: 129 meV per atom
**Size of the total moment**: 0.00 Bohr magnetons per cell
**ρ**: 6934 kg/m3
**Volume**: 386.4 Å³ per cell
**E_form**: -19.4 kJ per mole of atoms

Unit cell a=3.5855 b=3.5855 c=30.0581 alpha=90.00 beta=90.00 gamma=90.00
With the nearest neighbours (Å) after each atom.
Space group I4/mmm (No. 139)
Symmetry-distinct sites (fractional):
Ca (0.0000, 0.0000, 0.0623) (multiplicity 4)  4 Tl 3.34, 4 Ca 3.59
Tb (0.0000, 0.0000, 0.2074) (multiplicity 4)  4 Tl 3.35, 8 Tb 3.59-3.60
Tl (0.0000, 0.0000, 0.3655) (multiplicity 4)  4 Ca 3.34, 4 Tb 3.35, 4 Tl 3.59